This record from Alexandria via LeMat-Bulk describes CaAcNdHo after structural relaxation. The functional is PBE.

Unit cell a=5.974 b=5.974 c=5.974 alpha=60.00 beta=60.00 gamma=60.00
Atoms (fractional coordinates):
Ca  0.000  0.000  0.000
Ac  0.750  0.750  0.750
Nd  0.250  0.250  0.250
Ho  0.500  0.500  0.500

## Properties
**Size of the total moment**: 0.0000 μB per atom
**Calculated density**: 6.35 g/cm3
**Formation energy**: 10.2 kJ per mole of atoms
**Total DFT energy (no corrections)**: -15.0 eV for the cell shown
**Distance to the lowest polymorph of the same formula**: 41 meV/atom
**Symmetry**: F-43m (216)
**Volume**: 150.79 Å³ per cell